No. 1
A plane-wave DFT calculation with PBE was carried out for a relaxed structure of NdYBr6.

## Properties
DOS at the Fermi energy: 0.0000 states/eV per atom
Formation energy without anion corrections: -1827 meV/atom
E above lowest polymorph: 0.014 eV/atom
Total DFT energy (no corrections): -4.49 eV per atom

Cell lengths 7.7202, 7.7202, 7.7202 Å; angles 55.17, 55.17, 55.17 degrees
Last column: nearest neighbours and their distance in Å.
Sites, in units of the cell vectors:
Nd1 0.0000 0.0000 0.0000  6 Br 2.92
Y1 0.5000 0.5000 0.5000  6 Br 2.82
Br1 0.0952 0.7440 0.4148  1 Y 2.82, 1 Nd 2.92
Br2 0.2560 0.5852 0.9048  1 Y 2.82, 1 Nd 2.92
Br3 0.4148 0.0952 0.7440  1 Y 2.82, 1 Nd 2.92
Br4 0.5852 0.9048 0.2560  1 Y 2.82, 1 Nd 2.92
Br5 0.7440 0.4148 0.0952  1 Y 2.82, 1 Nd 2.92
Br6 0.9048 0.2560 0.5852  1 Y 2.82, 1 Nd 2.92

***

No. 2
A plane-wave DFT calculation with PBE was carried out for a relaxed structure of Tb2Ho5ErTm.

## Properties
DOS at the Fermi energy: 1.5136 states/eV per atom
Total DFT energy (no corrections): -4.42 eV per atom
Formation energy from the elements: 0.152 eV per atom

Cell lengths 10.2242, 10.2242, 10.4860 Å; angles 90.00, 90.00, 148.59 degrees
Last column: nearest neighbours and their distance in Å.
Sites, in units of the cell vectors:
Tb1 0.1108 0.8892 0.5000  1 Tm 3.37, 7 Ho 3.39-3.74, 2 Er 3.65
Tb2 0.1134 0.8866 0.0809  9 Ho 3.30-3.62, 1 Tm 3.63
Tb3 0.8866 0.1134 0.5809  9 Ho 3.30-3.62, 1 Tm 3.63
Tb4 0.8892 0.1108 0.0000  1 Tm 3.37, 7 Ho 3.39-3.74, 2 Er 3.65
Ho1 0.0182 0.9818 0.7858  2 Er 3.16, 3 Tb 3.37-3.51
Ho2 0.2810 0.7190 0.0730  1 Er 3.02, 1 Tb 3.30, 2 Ho 3.37
Ho3 0.3002 0.6998 0.4719  4 Ho 3.37-3.71, 1 Er 3.42, 3 Tb 3.44-3.74, 3 Tm 3.45-3.74
Ho4 0.3872 0.6128 0.7855  6 Ho 3.47-3.78, 4 Tb 3.50-3.57, 1 Tm 3.70
Ho5 0.4802 0.5198 0.5034  2 Er 3.13-3.24, 2 Tb 3.42, 2 Ho 3.47-3.48
Ho6 0.5198 0.4802 0.0034  2 Er 3.13-3.24, 2 Tb 3.42, 2 Ho 3.47-3.48
Ho7 0.6128 0.3872 0.2855  6 Ho 3.47-3.78, 4 Tb 3.50-3.57, 1 Tm 3.70
Ho8 0.6998 0.3002 0.9719  4 Ho 3.37-3.71, 1 Er 3.42, 3 Tb 3.44-3.74, 3 Tm 3.45-3.74
Ho9 0.7190 0.2810 0.5730  1 Er 3.02, 1 Tb 3.30, 2 Ho 3.37
Ho10 0.9818 0.0182 0.2858  2 Er 3.16, 3 Tb 3.37-3.51
Er1 0.4121 0.5879 0.2225  5 Ho 3.02-3.24
Er2 0.5879 0.4121 0.7225  5 Ho 3.02-3.24
Tm1 0.1995 0.8005 0.7748  2 Tb 3.37-3.63, 8 Ho 3.45-3.74, 2 Er 3.58
Tm2 0.8005 0.1995 0.2748  2 Tb 3.37-3.63, 8 Ho 3.45-3.74, 2 Er 3.58

***

No. 3
A plane-wave DFT calculation with PBE was carried out for a relaxed structure of Ce3Fe2Si2.

## Properties
DOS at the Fermi energy: 1.2302 states/eV per atom
Formation energy without anion corrections: -525 meV/atom
Total DFT energy (no corrections): -7.04 eV per atom

Cell lengths 5.6089, 7.9278, 12.0706 Å; angles 90.00, 90.00, 90.00 degrees
Last column: nearest neighbours and their distance in Å.
Sites, in units of the cell vectors:
Ce1 0.1409 0.2391 0.2500  5 Si 3.00-3.08, 4 Fe 3.07-3.17
Ce2 0.1409 0.2609 0.7500  5 Si 3.00-3.08, 4 Fe 3.07-3.17
Ce3 0.3351 0.5958 0.0876  1 Fe 2.27
Ce4 0.3351 0.5958 0.4124  1 Fe 2.27
Ce5 0.3351 0.9042 0.5876  1 Fe 2.27
Ce6 0.3351 0.9042 0.9124  1 Fe 2.27
Ce7 0.6649 0.0958 0.0876  1 Fe 2.27
Ce8 0.6649 0.0958 0.4124  1 Fe 2.27
Ce9 0.6649 0.4042 0.5876  1 Fe 2.27
Ce10 0.6649 0.4042 0.9124  1 Fe 2.27
Ce11 0.8591 0.7391 0.2500  5 Si 3.00-3.08, 4 Fe 3.07-3.17
Ce12 0.8591 0.7609 0.7500  5 Si 3.00-3.08, 4 Fe 3.07-3.17
Fe1 0.1504 0.5430 0.5762  1 Ce 2.27, 3 Si 2.44-2.50
Fe2 0.1504 0.5430 0.9238  1 Ce 2.27, 3 Si 2.44-2.50
Fe3 0.1504 0.9570 0.0762  1 Ce 2.27, 3 Si 2.44-2.50
Fe4 0.1504 0.9570 0.4238  1 Ce 2.27, 3 Si 2.44-2.50
Fe5 0.8496 0.0430 0.5762  1 Ce 2.27, 3 Si 2.44-2.50
Fe6 0.8496 0.0430 0.9238  1 Ce 2.27, 3 Si 2.44-2.50
Fe7 0.8496 0.4570 0.0762  1 Ce 2.27, 3 Si 2.44-2.50
Fe8 0.8496 0.4570 0.4238  1 Ce 2.27, 3 Si 2.44-2.50
Si1 0.1351 0.2500 0.0000  4 Fe 2.47-2.50
Si2 0.1351 0.2500 0.5000  4 Fe 2.47-2.50
Si3 0.3540 0.6080 0.7500  2 Fe 2.44
Si4 0.3540 0.8920 0.2500  2 Fe 2.44
Si5 0.6460 0.1080 0.7500  2 Fe 2.44
Si6 0.6460 0.3920 0.2500  2 Fe 2.44
Si7 0.8649 0.7500 0.0000  4 Fe 2.47-2.50
Si8 0.8649 0.7500 0.5000  4 Fe 2.47-2.50

***

No. 4
A plane-wave DFT calculation with PBE was carried out for a relaxed structure of BaCdS2N.

## Properties
DOS at the Fermi energy: 0.4888 states/eV per atom
Formation energy without anion corrections: -82 meV/atom
E above lowest polymorph: 0.000 eV/atom
Total DFT energy (no corrections): -3.97 eV per atom

Cell lengths 5.2236, 5.2236, 4.4054 Å; angles 90.00, 90.00, 90.00 degrees
Last column: nearest neighbours and their distance in Å.
Sites, in units of the cell vectors:
Ba1 0.0000 0.0000 0.0000  8 S 3.42, 4 N 3.69
Cd1 0.5000 0.5000 0.5000  2 N 2.20
S1 0.0000 0.5000 0.5000  2 Cd 2.61
S2 0.5000 0.0000 0.5000  2 Cd 2.61
N1 0.5000 0.5000 0.0000  2 Cd 2.20

***

No. 5
A plane-wave DFT calculation with PBE was carried out for a relaxed structure of Rb4Dy3MnS8.

## Properties
DOS at the Fermi energy: 0.1783 states/eV per atom
Formation energy without anion corrections: -1538 meV/atom
Total DFT energy (no corrections): -5.28 eV per atom

Cell lengths 7.9868, 7.9868, 8.9386 Å; angles 116.43, 116.43, 60.57 degrees
Last column: nearest neighbours and their distance in Å.
Sites, in units of the cell vectors:
Rb1 0.0000 0.0000 0.0000  6 S 3.38-3.52
Rb2 0.0000 0.5000 0.0000  6 S 3.29-3.32
Rb3 0.5000 0.0000 0.0000  6 S 3.29-3.32
Rb4 0.5000 0.5000 0.0000  6 S 3.27-3.30
Dy1 0.0000 0.0000 0.5000  6 S 2.75-2.77
Dy2 0.0000 0.5000 0.5000  6 S 2.75-2.79
Dy3 0.5000 0.0000 0.5000  6 S 2.75-2.79
Mn1 0.5000 0.5000 0.5000  6 S 2.49-2.67
S1 0.2322 0.2322 0.6944  3 Dy 2.75
S2 0.2401 0.7242 0.6886  1 Mn 2.67, 2 Dy 2.75-2.77
S3 0.2758 0.7599 0.3114  1 Mn 2.67, 2 Dy 2.75-2.77
S4 0.2894 0.2894 0.3220  1 Mn 2.49, 2 Dy 2.79
S5 0.7106 0.7106 0.6780  1 Mn 2.49, 2 Dy 2.79
S6 0.7242 0.2401 0.6886  1 Mn 2.67, 2 Dy 2.75-2.77
S7 0.7599 0.2758 0.3114  1 Mn 2.67, 2 Dy 2.75-2.77
S8 0.7678 0.7678 0.3056  3 Dy 2.75

***

No. 6
A plane-wave DFT calculation with PBE was carried out for a relaxed structure of Al3Ni2Ir.

## Properties
DOS at the Fermi energy: 0.4800 states/eV per atom
Total DFT energy (no corrections): -6.03 eV per atom
Formation energy from the elements: -0.750 eV per atom

Cell lengths 2.9453, 2.9453, 8.7727 Å; angles 90.00, 90.00, 90.00 degrees
Last column: nearest neighbours and their distance in Å.
Sites, in units of the cell vectors:
Al1 0.0000 0.0000 0.0000  8 Ni 2.52
Al2 0.0000 0.0000 0.3216  4 Ni 2.52, 4 Ir 2.61
Al3 0.0000 0.0000 0.6784  4 Ni 2.52, 4 Ir 2.61
Ni1 0.5000 0.5000 0.1609  8 Al 2.52
Ni2 0.5000 0.5000 0.8391  8 Al 2.52
Ir1 0.5000 0.5000 0.5000  8 Al 2.61